# 1
Here is a geometry-optimized LaScNi structure from the Alexandria database. Energies are from PBE.

abc: 4.255 4.255 4.758
angles: 90.00 90.00 120.00
Positions (direct):
La1 0.000 0.000 0.000
Sc1 0.333 0.667 0.495
Ni1 0.667 0.333 0.380

Values from the calculation:
- Crystal system: trigonal
- Energy of formation: -0.093 eV/atom
- Total energy: -5.773 eV per atom
- Energy above the most stable polymorph in this dataset: 0.111 eV/atom

=====

# 2
Here is a geometry-optimized Tb2Pm5Ru4 structure from the Alexandria database. Energies are from PBE.

abc: 12.300 12.300 7.078
angles: 105.37 105.37 16.48
Positions (direct):
Tb1 0.098 0.098 0.267
Tb2 0.902 0.902 0.733
Pm1 0.126 0.126 0.807
Pm2 0.264 0.264 0.731
Pm3 0.500 0.500 0.500
Pm4 0.736 0.736 0.269
Pm5 0.874 0.874 0.193
Ru1 0.017 0.017 0.842
Ru2 0.332 0.332 0.452
Ru3 0.668 0.668 0.548
Ru4 0.983 0.983 0.158

Values from the calculation:
- Crystal system: monoclinic
- Energy of formation: -0.038 eV/atom
- Total energy: -6.412 eV per atom

=====

# 3
Here is a geometry-optimized NaFe2Pt structure from the Alexandria database. Energies are from PBE.

abc: 5.789 5.789 5.789
angles: 102.25 102.25 125.14
Positions (direct):
Na1 0.000 0.000 0.000
Na2 0.750 0.250 0.500
Fe1 0.168 0.625 0.043
Fe2 0.375 0.418 0.543
Fe3 0.582 0.125 0.957
Fe4 0.875 0.832 0.457
Pt1 0.250 0.750 0.500
Pt2 0.500 0.500 0.000

Values from the calculation:
- Crystal system: tetragonal
- Energy of formation: 0.584 eV/atom
- Total energy: -5.487 eV per atom